Entry from Alexandria via LeMat-Bulk: a PBEsol-optimized structure of LiSiTc (SCAN).

- E_form (uncorrected) (kJ/mol of formula units) = 32

Cell: 2.6412 2.6412 6.3267 Å, 102.05 102.05 90.00°
With the nearest neighbours (Å) after each atom.
Fractional positions:
Si 0.6764 0.6764 0.3527  4 Tc 2.55, 4 Si 2.64, 4 Li 2.80
Li 0.0038 0.0038 0.0075  4 Li 2.64, 4 Si 2.80, 4 Tc 2.90
Tc 0.3199 0.3199 0.6398  4 Si 2.55, 4 Tc 2.64



Entry from Alexandria via LeMat-Bulk: a PBEsol-optimized structure of Li2SiTc (SCAN).

- E_form (uncorrected) (kJ/mol of formula units) = -71

Cell: 2.8627 3.9943 4.5301 Å, 90.00 90.01 90.00°
With the nearest neighbours (Å) after each atom.
Fractional positions:
Li 0.1250 0.0000 0.1249  4 Li 2.46, 4 Si 2.68
Li 0.6252 0.5000 0.1251  4 Li 2.46, 4 Tc 2.68
Tc 0.1249 0.5000 0.6250  4 Si 2.46, 4 Li 2.68
Si 0.6249 0.0000 0.6250  4 Tc 2.46, 4 Li 2.68



Entry from Alexandria via LeMat-Bulk: a PBEsol-optimized structure of Li2SiTe (SCAN).

- energy relative to the lowest polymorph listed for this composition (meV/atom) = 59
- E_form (uncorrected) (kJ/mol of formula units) = -81

Cell: 3.0496 4.7723 6.0390 Å, 116.83 104.62 90.00°
With the nearest neighbours (Å) after each atom.
Fractional positions:
Si 0.5078 0.6347 0.0155  1 Te 2.76, 5 Li 2.82-2.84, 2 Si 3.05
Te 0.7395 0.6141 0.4790  1 Si 2.76, 5 Li 2.81-2.87, 2 Te 3.05
Li 0.9989 0.1274 0.9977  4 Si 2.82-2.84, 3 Te 2.87-3.09, 3 Li 2.99-3.05
Li 0.2539 0.1238 0.5078  4 Te 2.81-2.86, 3 Si 2.83-3.13, 3 Li 2.99-3.05



Entry from Alexandria via LeMat-Bulk: a PBEsol-optimized structure of LiSi2Te (SCAN).

- E_form (uncorrected) (kJ/mol of formula units) = 77

Cell: 3.0852 3.7004 6.5794 Å, 90.00 90.00 90.00°
With the nearest neighbours (Å) after each atom.
Fractional positions:
Si 0.0000 0.0000 0.0085  4 Si 2.60, 1 Te 2.87, 4 Li 2.90
Si 0.5000 0.5000 0.1564  1 Li 2.59, 4 Si 2.60
Te 0.0000 0.0000 0.5723  4 Li 2.72, 1 Si 2.87
Li 0.5000 0.5000 0.7628  1 Si 2.59, 4 Te 2.72



Entry from Alexandria via LeMat-Bulk: a PBEsol-optimized structure of Li2SiTe (SCAN).

- energy relative to the lowest polymorph listed for this composition (meV/atom) = 0
- E_form (uncorrected) (kJ/mol of formula units) = -103

Cell: 3.9024 4.4474 5.1417 Å, 115.63 112.30 90.00°
With the nearest neighbours (Å) after each atom.
Fractional positions:
Li 0.2546 0.2546 0.5093  4 Si 2.84-3.09, 4 Te 2.90-3.03, 4 Li 2.96
Li 0.7454 0.7454 0.4907  4 Si 2.84-3.09, 4 Te 2.90-3.03, 4 Li 2.96
Te 0.5000 0.0000 0.0000  8 Li 2.90-3.03, 4 Si 2.96
Si 0.0000 0.5000 0.0000  8 Li 2.84-3.09, 4 Te 2.96



Entry from Alexandria via LeMat-Bulk: a PBEsol-optimized structure of Li2SiTe (SCAN).

- energy relative to the lowest polymorph listed for this composition (meV/atom) = 49
- E_form (uncorrected) (kJ/mol of formula units) = -84

Cell: 3.0496 5.0608 5.0608 Å, 107.59 90.18 90.18°
With the nearest neighbours (Å) after each atom.
Fractional positions:
Si 0.5000 0.5000 0.5000  8 Li 2.95-2.96, 2 Te 2.99, 2 Si 3.05
Li 0.0000 0.0000 0.5000  4 Si 2.95-2.96, 4 Te 2.95-2.96, 4 Li 2.99-3.05
Li 0.0000 0.5000 0.0000  4 Te 2.95-2.96, 4 Si 2.95-2.96, 4 Li 2.99-3.05
Te 0.5000 0.0000 0.0000  8 Li 2.95-2.96, 2 Si 2.99, 2 Te 3.05



Entry from Alexandria via LeMat-Bulk: a PBEsol-optimized structure of Li2SiTe (SCAN).

- energy relative to the lowest polymorph listed for this composition (meV/atom) = 63
- E_form (uncorrected) (kJ/mol of formula units) = -79

Cell: 3.0160 3.0160 8.3409 Å, 90.00 90.00 90.00°
With the nearest neighbours (Å) after each atom.
Fractional positions:
Li 0.0000 0.0000 0.7853  4 Si 2.78, 4 Li 3.02
Li 0.0000 0.0000 0.2147  4 Si 2.78, 4 Li 3.02
Si 0.5000 0.5000 0.0000  8 Li 2.78, 4 Si 3.02
Te 0.5000 0.5000 0.5000  4 Te 3.02, 8 Li 3.20



Entry from Alexandria via LeMat-Bulk: a PBEsol-optimized structure of Li2SiTe (SCAN).

- energy relative to the lowest polymorph listed for this composition (meV/atom) = 95
- E_form (uncorrected) (kJ/mol of formula units) = -66

Cell: 3.9302 3.9302 5.5119 Å, 110.89 110.89 90.00°
With the nearest neighbours (Å) after each atom.
Fractional positions:
Li 0.0000 0.0000 0.0000  4 Si 2.78, 4 Li 3.09, 4 Te 3.09
Li 0.2500 0.7500 0.5000  4 Te 2.78, 4 Li 3.09, 4 Si 3.09
Te 0.7500 0.2500 0.5000  8 Li 2.78-3.09, 4 Si 3.09
Si 0.5000 0.5000 0.0000  8 Li 2.78-3.09, 4 Te 3.09



Entry from Alexandria via LeMat-Bulk: a PBEsol-optimized structure of Li2SiTe (SCAN).

- energy relative to the lowest polymorph listed for this composition (meV/atom) = 17
- E_form (uncorrected) (kJ/mol of formula units) = -97

Cell: 3.0817 4.0461 5.9121 Å, 90.00 93.89 90.00°
With the nearest neighbours (Å) after each atom.
Fractional positions:
Te 0.5000 0.5000 0.5000  2 Si 2.96, 8 Li 2.97-3.08, 2 Te 3.08
Si 0.5000 0.5000 0.0000  8 Li 2.82-2.91, 2 Te 2.96, 2 Si 3.08
Li 0.0003 0.0000 0.2231  1 Li 2.64, 4 Si 2.82-2.91
Li 0.9997 0.0000 0.7769  1 Li 2.64, 4 Si 2.82-2.91



Entry from Alexandria via LeMat-Bulk: a PBEsol-optimized structure of LiTlSi3 (SCAN).

- E_form (uncorrected) (kJ/mol of formula units) = 446

Cell: 4.5516 4.5516 4.5516 Å, 90.00 90.00 90.00°
With the nearest neighbours (Å) after each atom.
Fractional positions:
Si 0.0000 0.0000 0.5000  2 Li 2.28
Si 0.0000 0.5000 0.0000  2 Li 2.28
Si 0.5000 0.0000 0.0000  2 Li 2.28
Li 0.0000 0.0000 0.0000  6 Si 2.28
Tl 0.5000 0.5000 0.5000  12 Si 3.22



Entry from Alexandria via LeMat-Bulk: a PBEsol-optimized structure of Li2TlSi (SCAN).

- E_form (uncorrected) (kJ/mol of formula units) = -23

Cell: 4.1240 4.1240 5.0425 Å, 114.14 114.14 90.00°
With the nearest neighbours (Å) after each atom.
Fractional positions:
Tl 0.2500 0.7500 0.5000  8 Li 2.91-2.92, 4 Si 2.91
Li 0.5000 0.5000 0.0000  4 Tl 2.91, 4 Li 2.91, 4 Si 2.92
Li 0.7500 0.2500 0.5000  4 Li 2.91, 4 Si 2.91, 4 Tl 2.92
Si 0.0000 0.0000 0.0000  4 Tl 2.91, 8 Li 2.91-2.92



Entry from Alexandria via LeMat-Bulk: a PBEsol-optimized structure of LiSiW (SCAN).

- energy relative to the lowest polymorph listed for this composition (meV/atom) = 14
- E_form (uncorrected) (kJ/mol of formula units) = 77

Cell: 2.6501 2.6501 6.6063 Å, 101.57 101.57 90.00°
With the nearest neighbours (Å) after each atom.
Fractional positions:
Si 0.6719 0.6719 0.3438  4 Si 2.65, 4 W 2.67, 4 Li 2.82
Li 0.0056 0.0056 0.0113  4 Li 2.65, 4 Si 2.82
W 0.3225 0.3225 0.6449  4 W 2.65, 4 Si 2.67



Entry from Alexandria via LeMat-Bulk: a PBEsol-optimized structure of Li2SiW (SCAN).

- E_form (uncorrected) (kJ/mol of formula units) = 82

Cell: 3.5158 3.5158 4.3922 Å, 90.00 90.00 90.00°
With the nearest neighbours (Å) after each atom.
Fractional positions:
Li 0.0000 0.5000 0.0000  4 Li 2.49
Li 0.5000 0.0000 0.0000  4 Li 2.49
Si 0.5000 0.5000 0.5000  4 W 2.49
W 0.0000 0.0000 0.5000  4 Si 2.49



Entry from Alexandria via LeMat-Bulk: a PBEsol-optimized structure of LiSiW (SCAN).

- energy relative to the lowest polymorph listed for this composition (meV/atom) = 0
- E_form (uncorrected) (kJ/mol of formula units) = 73

Cell: 2.6808 3.6276 4.6652 Å, 112.88 106.70 90.00°
With the nearest neighbours (Å) after each atom.
Fractional positions:
Si 0.6601 0.6601 0.3202  5 Li 2.57-2.86, 5 W 2.65-2.70, 2 Si 2.68
W 0.3300 0.3300 0.6599  5 Li 2.61-2.69, 5 Si 2.65-2.70, 2 W 2.68
Li 0.0099 0.0099 0.0198  5 Si 2.57-2.86, 5 W 2.61-2.69, 2 Li 2.68



Entry from Alexandria via LeMat-Bulk: a PBEsol-optimized structure of Li2YSi (SCAN).

- E_form (uncorrected) (kJ/mol of formula units) = -95

Cell: 3.4782 4.2748 5.6987 Å, 90.00 107.77 90.00°
With the nearest neighbours (Å) after each atom.
Fractional positions:
Li 0.4475 0.5000 0.8950  2 Si 2.60, 4 Li 2.84
Li 0.0122 0.0000 0.0244  2 Si 2.79, 4 Li 2.84
Si 0.3112 0.0000 0.6225  4 Li 2.60-2.79, 4 Y 2.90
Y 0.7278 0.5000 0.4557  4 Si 2.90, 3 Li 2.95-3.04



Entry from Alexandria via LeMat-Bulk: a PBEsol-optimized structure of LiYSi (SCAN).

- energy relative to the lowest polymorph listed for this composition (meV/atom) = 0
- E_form (uncorrected) (kJ/mol of formula units) = -192

Cell: 4.2028 6.9298 6.9298 Å, 120.00 90.00 90.00°
With the nearest neighbours (Å) after each atom.
Fractional positions:
Li 0.5000 0.0000 0.2317  4 Si 2.64-2.73, 2 Li 2.78
Li 0.5000 0.2317 0.0000  4 Si 2.64-2.73, 2 Li 2.78
Li 0.5000 0.7683 0.7683  4 Si 2.64-2.73, 2 Li 2.78
Si 0.5000 0.6667 0.3333  3 Li 2.73, 6 Y 2.94
Si 0.0000 0.0000 0.0000  6 Li 2.64
Si 0.5000 0.3333 0.6667  3 Li 2.73, 6 Y 2.94
Y 0.0000 0.4284 0.4284  5 Si 2.94-2.97, 2 Li 3.16
Y 0.0000 0.0000 0.5716  5 Si 2.94-2.97, 2 Li 3.16
Y 0.0000 0.5716 0.0000  5 Si 2.94-2.97, 2 Li 3.16



Entry from Alexandria via LeMat-Bulk: a PBEsol-optimized structure of LiYSi (SCAN).

- energy relative to the lowest polymorph listed for this composition (meV/atom) = 489
- E_form (uncorrected) (kJ/mol of formula units) = -51

Cell: 3.2544 3.2544 5.8796 Å, 106.07 106.07 90.00°
With the nearest neighbours (Å) after each atom.
Fractional positions:
Si 0.6467 0.6467 0.2934  4 Li 2.61
Y 0.3201 0.3201 0.6403  4 Si 2.97, 5 Li 3.11-3.26, 4 Y 3.25
Li 0.0332 0.0332 0.0663  4 Si 2.61



Entry from Alexandria via LeMat-Bulk: a PBEsol-optimized structure of Li3YSi (SCAN).

- E_form (uncorrected) (kJ/mol of formula units) = 36

Cell: 4.5957 4.5957 4.5957 Å, 90.00 90.00 90.00°
With the nearest neighbours (Å) after each atom.
Fractional positions:
Si 0.0000 0.0000 0.0000  6 Li 2.30
Li 0.5000 0.0000 0.0000  2 Si 2.30
Li 0.0000 0.0000 0.5000  2 Si 2.30
Li 0.0000 0.5000 0.0000  2 Si 2.30
Y 0.5000 0.5000 0.5000  12 Li 3.25



Entry from Alexandria via LeMat-Bulk: a PBEsol-optimized structure of LiY2Si2 (SCAN).

- E_form (uncorrected) (kJ/mol of formula units) = -338

Cell: 4.1513 7.0711 7.0711 Å, 90.00 90.00 90.00°
With the nearest neighbours (Å) after each atom.
Fractional positions:
Y 0.5000 0.6781 0.8219  6 Si 2.90-2.98
Y 0.5000 0.3219 0.1781  6 Si 2.90-2.98
Y 0.5000 0.8219 0.3219  6 Si 2.90-2.98
Y 0.5000 0.1781 0.6781  6 Si 2.90-2.98
Si 0.0000 0.1189 0.3811  1 Si 2.38
Si 0.0000 0.6189 0.1189  1 Si 2.38
Si 0.0000 0.8811 0.6189  1 Si 2.38
Si 0.0000 0.3811 0.8811  1 Si 2.38
Li 0.0000 0.0000 0.0000  4 Si 2.82
Li 0.0000 0.5000 0.5000  4 Si 2.82



Entry from Alexandria via LeMat-Bulk: a PBEsol-optimized structure of LiZn2Si (SCAN).

- E_form (uncorrected) (kJ/mol of formula units) = -16

Cell: 3.7252 3.8400 3.8400 Å, 90.00 90.00 90.00°
With the nearest neighbours (Å) after each atom.
Fractional positions:
Zn 0.0000 0.5000 0.0000  4 Li 2.68, 4 Si 2.68, 4 Zn 2.72
Zn 0.0000 0.0000 0.5000  4 Li 2.68, 4 Si 2.68, 4 Zn 2.72
Si 0.5000 0.0000 0.0000  8 Zn 2.68, 4 Li 2.72
Li 0.5000 0.5000 0.5000  8 Zn 2.68, 4 Si 2.72



Entry from Alexandria via LeMat-Bulk: a PBEsol-optimized structure of Li2ZnSi2 (SCAN).

- E_form (uncorrected) (kJ/mol of formula units) = 81

Cell: 2.4966 7.6408 7.6408 Å, 90.00 90.00 90.00°
With the nearest neighbours (Å) after each atom.
Fractional positions:
Si 0.5000 0.1874 0.6874  2 Si 2.50, 6 Li 2.51-2.66
Si 0.5000 0.6874 0.8126  2 Si 2.50, 6 Li 2.51-2.66
Si 0.5000 0.8126 0.3126  2 Si 2.50, 6 Li 2.51-2.66
Si 0.5000 0.3126 0.1874  2 Si 2.50, 6 Li 2.51-2.66
Li 0.0000 0.8888 0.6112  3 Li 2.40-2.50, 6 Si 2.51-2.66
Li 0.0000 0.1112 0.3888  3 Li 2.40-2.50, 6 Si 2.51-2.66
Li 0.0000 0.6112 0.1112  3 Li 2.40-2.50, 6 Si 2.51-2.66
Li 0.0000 0.3888 0.8888  3 Li 2.40-2.50, 6 Si 2.51-2.66
Zn 0.0000 0.5000 0.5000  2 Zn 2.50
Zn 0.0000 0.0000 0.0000  2 Zn 2.50



Entry from Alexandria via LeMat-Bulk: a PBEsol-optimized structure of LiZnSi (SCAN).

- E_form (uncorrected) (kJ/mol of formula units) = 25

Cell: 2.7686 2.7686 6.4451 Å, 90.00 90.00 120.00°
With the nearest neighbours (Å) after each atom.
Fractional positions:
Zn 0.6667 0.3333 0.3363  3 Si 2.67, 3 Li 2.72, 6 Zn 2.77
Si 0.3333 0.6667 0.6688  3 Li 2.64, 3 Zn 2.67, 6 Si 2.77
Li 0.0000 0.0000 0.9949  3 Si 2.64, 3 Zn 2.72, 6 Li 2.77



Entry from Alexandria via LeMat-Bulk: a PBEsol-optimized structure of LiZn2Si (SCAN).

- E_form (uncorrected) (kJ/mol of formula units) = 10

Cell: 3.3042 3.3042 5.2367 Å, 90.00 90.00 90.00°
With the nearest neighbours (Å) after each atom.
Fractional positions:
Si 0.5000 0.5000 0.5000  2 Li 2.62, 8 Zn 2.69
Zn 0.0000 0.0000 0.7531  2 Zn 2.59-2.65, 4 Li 2.67, 4 Si 2.69
Zn 0.0000 0.0000 0.2469  2 Zn 2.59-2.65, 4 Li 2.67, 4 Si 2.69
Li 0.5000 0.5000 0.0000  2 Si 2.62, 8 Zn 2.67



Entry from Alexandria via LeMat-Bulk: a PBEsol-optimized structure of LiZn2Si2 (SCAN).

- E_form (uncorrected) (kJ/mol of formula units) = -16

Cell: 3.9936 3.9936 5.8889 Å, 109.82 109.82 90.00°
With the nearest neighbours (Å) after each atom.
Fractional positions:
Li 0.0000 0.0000 0.0000  8 Si 3.04, 8 Zn 3.27
Zn 0.7500 0.2500 0.5000  4 Si 2.47
Zn 0.2500 0.7500 0.5000  4 Si 2.47
Si 0.3901 0.3901 0.7802  1 Si 2.27, 4 Zn 2.47
Si 0.6099 0.6099 0.2198  1 Si 2.27, 4 Zn 2.47



Entry from Alexandria via LeMat-Bulk: a PBEsol-optimized structure of LiZnSi (SCAN).

- E_form (uncorrected) (kJ/mol of formula units) = -6

Cell: 4.0901 4.0901 4.0901 Å, 60.00 60.00 60.00°
With the nearest neighbours (Å) after each atom.
Fractional positions:
Zn 0.0000 0.0000 0.0000  4 Si 2.50
Si 0.2500 0.2500 0.2500  4 Li 2.50, 4 Zn 2.50
Li 0.5000 0.5000 0.5000  4 Si 2.50



Entry from Alexandria via LeMat-Bulk: a PBEsol-optimized structure of Li2ZrSi (SCAN).

- E_form (uncorrected) (kJ/mol of formula units) = 60

Cell: 2.7274 5.4412 5.4412 Å, 120.44 90.00 90.00°
With the nearest neighbours (Å) after each atom.
Fractional positions:
Zr 0.5000 0.5000 0.5000  2 Si 2.70, 2 Zr 2.73
Li 0.0000 0.5000 0.0000  4 Li 2.70-2.73
Li 0.0000 0.0000 0.5000  4 Li 2.70-2.73
Si 0.5000 0.0000 0.0000  2 Zr 2.70, 2 Si 2.73



Entry from Alexandria via LeMat-Bulk: a PBEsol-optimized structure of LiZr2Si (SCAN).

- E_form (uncorrected) (kJ/mol of formula units) = -93

Cell: 3.0435 4.8210 4.8210 Å, 100.48 90.00 90.00°
With the nearest neighbours (Å) after each atom.
Fractional positions:
Zr 0.0000 0.0000 0.5000  4 Li 2.85, 4 Si 2.85, 4 Zr 3.04-3.08
Zr 0.0000 0.5000 0.0000  4 Si 2.85, 4 Li 2.85, 4 Zr 3.04-3.08
Li 0.5000 0.0000 0.0000  8 Zr 2.85, 2 Li 3.04, 2 Si 3.08
Si 0.5000 0.5000 0.5000  8 Zr 2.85, 2 Si 3.04, 2 Li 3.08



Entry from Alexandria via LeMat-Bulk: a PBEsol-optimized structure of Li3ZrSi (SCAN).

- E_form (uncorrected) (kJ/mol of formula units) = 218

Cell: 4.3942 4.3942 4.3942 Å, 90.00 90.00 90.00°
With the nearest neighbours (Å) after each atom.
Fractional positions:
Li 0.0000 0.5000 0.0000  2 Si 2.20
Li 0.5000 0.0000 0.0000  2 Si 2.20
Li 0.0000 0.0000 0.5000  2 Si 2.20
Si 0.0000 0.0000 0.0000  6 Li 2.20
Zr 0.5000 0.5000 0.5000  12 Li 3.11



Entry from Alexandria via LeMat-Bulk: a PBEsol-optimized structure of Li2ZrSi (SCAN).

- E_form (uncorrected) (kJ/mol of formula units) = -17

Cell: 2.8463 4.3277 5.9926 Å, 96.04 90.00 109.20°
With the nearest neighbours (Å) after each atom.
Fractional positions:
Li 0.9930 0.9859 0.9412  3 Li 2.47-2.67
Li 0.2411 0.4822 0.7414  3 Li 2.47-2.67, 3 Si 2.62
Si 0.5040 0.0080 0.5288  5 Li 2.62-2.86, 3 Zr 2.68-2.72, 2 Si 2.85
Zr 0.7620 0.5239 0.2886  3 Si 2.68-2.72, 2 Zr 2.85, 1 Li 2.96



Entry from Alexandria via LeMat-Bulk: a PBEsol-optimized structure of LiZrSi (SCAN).

- E_form (uncorrected) (kJ/mol of formula units) = 13

Cell: 2.9368 2.9368 7.2528 Å, 90.00 90.00 120.00°
With the nearest neighbours (Å) after each atom.
Fractional positions:
Li 0.0000 0.0000 0.9681  3 Si 2.72, 6 Li 2.94
Si 0.3333 0.6667 0.6748  3 Li 2.72, 3 Zr 2.86, 6 Si 2.94
Zr 0.6667 0.3333 0.3572  3 Si 2.86, 6 Zr 2.94